LaBeSe2: optimized geometry, PBE.

Geometry as CIF:
```
data_LaBeSe2
_cell_length_a 6.815
_cell_length_b 6.825
_cell_length_c 3.721
_cell_angle_alpha 90.00
_cell_angle_beta 90.00
_cell_angle_gamma 90.00
_symmetry_space_group_name_H-M 'C m m m'
_symmetry_Int_Tables_number 65
_symmetry_space_group_name_Hall '-C 2 2'
loop_
_atom_site_label
_atom_site_type_symbol
_atom_site_fract_x
_atom_site_fract_y
_atom_site_fract_z
La1 La 0.000 0.000 0.000
Be1 Be 0.000 0.500 0.000
Se1 Se 0.250 0.250 0.500
```

ΔE_f (raw): -0.77 eV/atom